Record 1
Density functional theory data (PBE) for a relaxed PaIrNO crystal.

Structure (POSCAR):
```
PaIrNO
1.0
-4.820 1.093 -0.849
0.705 -0.706 -4.915
-1.037 -4.218 0.457
O N Pa Ir
2 2 2 2
Cartesian
-0.676 -0.256 -3.898
-3.439 0.643 -1.865
-3.510 -1.431 -4.136
-1.642 -2.399 -1.170
-3.957 -1.465 -1.637
-1.195 -2.365 -3.670
-4.004 -3.442 -3.918
-1.148 -0.389 -1.388
```

Results
Final energy   -8.36 eV per atom

Record 2
Density functional theory data (PBE) for a relaxed PaIrNO crystal.

Structure (POSCAR):
```
PaIrNO
1.0
1.818 3.336 0.929
4.099 -2.516 1.011
1.587 0.547 -5.072
Pa O N Ir
2 2 2 2
Cartesian
2.355 -1.111 -0.622
5.293 -2.062 -2.956
2.090 0.997 0.562
5.614 0.248 -3.645
3.149 -0.813 -3.245
4.450 -2.330 -0.345
3.992 0.740 -2.237
1.518 1.851 -1.388
```

Results
Final energy   -8.68 eV per atom

Record 3
Density functional theory data (PBE) for a relaxed PaIrNO crystal.

Structure (POSCAR):
```
PaIrNO
1.0
4.010 0.000 0.000
0.000 4.982 0.000
0.000 0.000 6.176
N Pa O Ir
2 2 2 2
Cartesian
0.000 3.126 0.721
0.000 1.856 3.809
2.005 3.968 0.182
2.005 1.014 3.270
2.005 3.976 4.161
2.005 1.006 1.073
0.000 1.450 5.718
0.000 3.532 2.631
```

Results
Final energy   -8.46 eV per atom

final energy of number 2 (PaIrNO)?
-8.68 eV per atom